# PBE+U Pm6WO12, relaxed
data_Pm6WO12
_chemical_formula_sum 'Pm18 W3 O36'
_symmetry_space_group_name_H-M 'R -3'
_symmetry_Int_Tables_number 148
_symmetry_space_group_name_Hall '-R 3'
_cell_length_a 10.1306
_cell_length_b 10.1306
_cell_length_c 9.7033
_cell_angle_alpha 90.00
_cell_angle_beta 90.00
_cell_angle_gamma 120.00
loop_
_atom_site_label
_atom_site_type_symbol
_atom_site_fract_x
_atom_site_fract_y
_atom_site_fract_z
Pm1 Pm 0.0442 0.2556 0.1443
W1 W 0.0000 0.0000 0.5000
O1 O 0.0352 0.2249 0.9022
O2 O 0.0379 0.1802 0.3901
# - raw total energy (eV/atom) = -8.219